First-principles (GGA+U) data for crystalline MoAsBr2O at its relaxed geometry, as listed in Alexandria via LeMat-Bulk.

Results
VASP energy ... -14.8 eV/cell
Crystal system ... tetragonal

Structure (POSCAR):
```
MoAsBr2O
1.0
5.001 0.000 0.000
0.000 5.001 0.000
0.000 0.000 4.943
Mo As Br O
1 1 2 1
Cartesian
0.000 0.000 0.000
0.000 0.000 2.471
0.000 2.500 0.000
2.500 0.000 0.000
2.500 2.500 2.471
```